Entry 1:
First-principles (PBE) data for crystalline Nd2GdMg3CdIn2 at its relaxed geometry, as listed in OQMD via LeMat-Bulk.

Summary:
total DFT energy (no corrections): -3.187 eV per atom

Structure (CIF):
```
data_Nd2GdMg3CdIn2
_cell_length_a 4.725
_cell_length_b 13.207
_cell_length_c 7.698
_cell_angle_alpha 90.00
_cell_angle_beta 90.00
_cell_angle_gamma 90.00
_space_group_name_H-M_alt 'A m m 2'
_space_group_IT_number 38
_space_group_name_Hall 'A 2 -2'
loop_
_atom_site_label
_atom_site_type_symbol
_atom_site_fract_x
_atom_site_fract_y
_atom_site_fract_z
_atom_site_occupancy
Nd1 Nd 0.000 0.211 0.000 1
Gd1 Gd 0.000 0.000 0.366 1
Mg1 Mg 0.500 0.000 0.027 1
Mg2 Mg 0.500 0.120 0.667 1
Cd1 Cd 0.000 0.000 0.783 1
In1 In 0.500 0.164 0.289 1
```

---

Entry 2:
First-principles (PBE) data for crystalline Gd3MgCd2In2Pd at its relaxed geometry, as listed in OQMD via LeMat-Bulk.

Summary:
total DFT energy (no corrections): -3.615 eV per atom

Structure (CIF):
```
data_Gd3MgCd2In2Pd
_cell_length_a 4.515
_cell_length_b 13.065
_cell_length_c 7.485
_cell_angle_alpha 90.00
_cell_angle_beta 90.00
_cell_angle_gamma 90.00
_space_group_name_H-M_alt 'A m m 2'
_space_group_IT_number 38
_space_group_name_Hall 'A 2 -2'
loop_
_atom_site_label
_atom_site_type_symbol
_atom_site_fract_x
_atom_site_fract_y
_atom_site_fract_z
_atom_site_occupancy
Gd1 Gd 0.000 0.000 0.000 1
Gd2 Gd 0.000 0.203 0.404 1
Mg1 Mg 0.500 0.000 0.379 1
Cd1 Cd 0.500 0.120 0.721 1
In1 In 0.500 0.163 0.108 1
Pd1 Pd 0.000 0.000 0.595 1
```

---

Entry 3:
First-principles (PBE) data for crystalline Pr2GdMg3CdIn2 at its relaxed geometry, as listed in OQMD via LeMat-Bulk.

Summary:
total DFT energy (no corrections): -3.189 eV per atom

Structure (CIF):
```
data_Pr2GdMg3CdIn2
_cell_length_a 4.745
_cell_length_b 13.238
_cell_length_c 7.731
_cell_angle_alpha 90.00
_cell_angle_beta 90.00
_cell_angle_gamma 90.00
_space_group_name_H-M_alt 'A m m 2'
_space_group_IT_number 38
_space_group_name_Hall 'A 2 -2'
loop_
_atom_site_label
_atom_site_type_symbol
_atom_site_fract_x
_atom_site_fract_y
_atom_site_fract_z
_atom_site_occupancy
Pr1 Pr 0.000 0.211 0.000 1
Gd1 Gd 0.000 0.000 0.366 1
Mg1 Mg 0.500 0.000 0.027 1
Mg2 Mg 0.500 0.120 0.667 1
Cd1 Cd 0.000 0.000 0.781 1
In1 In 0.500 0.164 0.289 1
```

---

Entry 4:
First-principles (PBE) data for crystalline Gd2TmMg3CdIn2 at its relaxed geometry, as listed in OQMD via LeMat-Bulk.

Summary:
total DFT energy (no corrections): -3.121 eV per atom

Structure (CIF):
```
data_Gd2TmMg3CdIn2
_cell_length_a 4.644
_cell_length_b 12.981
_cell_length_c 7.585
_cell_angle_alpha 90.00
_cell_angle_beta 90.00
_cell_angle_gamma 90.00
_space_group_name_H-M_alt 'A m m 2'
_space_group_IT_number 38
_space_group_name_Hall 'A 2 -2'
loop_
_atom_site_label
_atom_site_type_symbol
_atom_site_fract_x
_atom_site_fract_y
_atom_site_fract_z
_atom_site_occupancy
Gd1 Gd 0.000 0.213 0.000 1
Tm1 Tm 0.000 0.000 0.360 1
Mg1 Mg 0.500 0.000 0.025 1
Mg2 Mg 0.500 0.120 0.665 1
Cd1 Cd 0.000 0.000 0.780 1
In1 In 0.500 0.165 0.287 1
```

---

Entry 5:
First-principles (PBE) data for crystalline GdY2Mg3CdIn2 at its relaxed geometry, as listed in OQMD via LeMat-Bulk.

Summary:
total DFT energy (no corrections): -3.566 eV per atom

Structure (CIF):
```
data_GdY2Mg3CdIn2
_cell_length_a 4.615
_cell_length_b 13.124
_cell_length_c 7.544
_cell_angle_alpha 90.00
_cell_angle_beta 90.00
_cell_angle_gamma 90.00
_space_group_name_H-M_alt 'A m m 2'
_space_group_IT_number 38
_space_group_name_Hall 'A 2 -2'
loop_
_atom_site_label
_atom_site_type_symbol
_atom_site_fract_x
_atom_site_fract_y
_atom_site_fract_z
_atom_site_occupancy
Gd1 Gd 0.000 0.000 0.000 1
Y1 Y 0.000 0.213 0.360 1
Mg1 Mg 0.500 0.000 0.333 1
Mg2 Mg 0.500 0.120 0.694 1
Cd1 Cd 0.000 0.000 0.572 1
In1 In 0.500 0.167 0.074 1
```

---

Entry 6:
First-principles (PBE) data for crystalline Gd3Mg3ZnCdIn at its relaxed geometry, as listed in OQMD via LeMat-Bulk.

Summary:
total DFT energy (no corrections): -2.930 eV per atom

Structure (CIF):
```
data_Gd3Mg3ZnCdIn
_cell_length_a 7.4601
_cell_length_b 7.4601
_cell_length_c 4.6346
_cell_angle_alpha 90.00
_cell_angle_beta 90.00
_cell_angle_gamma 120.00
_space_group_name_H-M_alt 'P -6'
_space_group_IT_number 174
_space_group_name_Hall 'P -6'
loop_
_atom_site_label
_atom_site_type_symbol
_atom_site_fract_x
_atom_site_fract_y
_atom_site_fract_z
_atom_site_occupancy
Gd1 Gd 0.0086 0.4299 0.0000 1
Mg1 Mg 0.0116 0.7619 0.5000 1
Zn1 Zn 0.3333 0.6667 0.5000 1
Cd1 Cd 0.0000 0.0000 0.0000 1
In1 In 0.6667 0.3333 0.5000 1
```